A relaxed structure of LiTiCo2F. Source: Alexandria, functional GGA+U.

Unit cell a=4.662 b=4.662 c=3.918 alpha=90.00 beta=90.00 gamma=90.00
Space group P4/mmm (No. 123)
Symmetry-distinct sites (fractional):
Li1 0.000 0.000 0.000 x1
Ti1 0.500 0.500 0.500 x1
Co1 0.000 0.500 0.500 x2
F1 0.500 0.500 0.000 x1

Calculated values
Volume (Å³/cell): 85
Calculated total energy (eV/atom): -4.30
Density (g cm⁻³): 3.7